[1]
Density functional theory data (PBE-GGA) for a relaxed structure of Er4Al2CdAg.

Lattice parameters (Å, degrees): 8.8933 8.8933 8.8933 33.52 33.52 33.52
With the nearest neighbours (Å) after each atom.
Atoms (fractional coordinates):
Er1 0.1229 0.1229 0.1229  1 Ag 3.09, 4 Al 3.11-3.16, 3 Cd 3.16
Er2 0.3732 0.3732 0.3732  3 Ag 3.13, 4 Al 3.13-3.17, 1 Cd 3.19
Er3 0.6268 0.6268 0.6268  3 Ag 3.13, 4 Al 3.13-3.17, 1 Cd 3.19
Er4 0.8771 0.8771 0.8771  1 Ag 3.09, 4 Al 3.11-3.16, 3 Cd 3.16
Al1 0.2487 0.2487 0.2487  8 Er 3.11-3.17
Al2 0.7513 0.7513 0.7513  8 Er 3.11-3.17
Cd1 0.5000 0.5000 0.5000  8 Er 3.16-3.19
Ag1 0.0000 0.0000 0.0000  8 Er 3.09-3.13

Computed properties:
final energy	-4.04	eV/atom
energy of formation from the pure elements	-0.351	eV/atom

***

[2]
Density functional theory data (PBE-GGA) for a relaxed structure of AlCdAgF6.

Lattice parameters (Å, degrees): 5.5978 5.5978 9.7838 90.00 90.00 120.00
With the nearest neighbours (Å) after each atom.
Atoms (fractional coordinates):
Al1 0.3333 0.6667 0.2500  6 F 1.84
Al2 0.6667 0.3333 0.7500  6 F 1.84
Cd1 0.3333 0.6667 0.7500  6 F 2.27
Cd2 0.6667 0.3333 0.2500  6 F 2.27
Ag1 0.0000 0.0000 0.0000  6 F 2.53
Ag2 0.0000 0.0000 0.5000  6 F 2.53
F1 0.0569 0.4008 0.1439  1 Al 1.84
F2 0.0569 0.6562 0.3561  1 Al 1.84
F3 0.3438 0.4008 0.3561  1 Al 1.84
F4 0.3438 0.9431 0.1439  1 Al 1.84
F5 0.4008 0.0569 0.6439  1 Al 1.84
F6 0.4008 0.3438 0.8561  1 Al 1.84
F7 0.5992 0.6562 0.1439  1 Al 1.84
F8 0.5992 0.9431 0.3561  1 Al 1.84
F9 0.6562 0.0569 0.8561  1 Al 1.84
F10 0.6562 0.5992 0.6439  1 Al 1.84
F11 0.9431 0.3438 0.6439  1 Al 1.84
F12 0.9431 0.5992 0.8561  1 Al 1.84

Computed properties:
raw formation energy	-2521.4	meV/atom
final energy	-4.60	eV/atom

***

[3]
Density functional theory data (PBE-GGA) for a relaxed structure of AlCdAg2F6.

Lattice parameters (Å, degrees): 5.7962 5.9231 9.5400 90.00 120.50 90.00
With the nearest neighbours (Å) after each atom.
Atoms (fractional coordinates):
Al1 0.0000 0.0000 0.0000  6 F 1.84-1.86
Al2 0.0000 0.5000 0.5000  6 F 1.84-1.86
Cd1 0.5000 0.0000 0.5000  6 F 2.45-2.46
Cd2 0.5000 0.5000 0.0000  6 F 2.45-2.46
Ag1 0.2854 0.0526 0.7507  6 F 2.52-2.75
Ag2 0.2854 0.4474 0.2507  6 F 2.52-2.75
Ag3 0.7146 0.5526 0.7493  6 F 2.52-2.75
Ag4 0.7146 0.9474 0.2493  6 F 2.52-2.75
F1 0.1203 0.0112 0.2195  1 Al 1.84
F2 0.1203 0.4888 0.7195  1 Al 1.84
F3 0.1715 0.7284 0.0264  1 Al 1.84
F4 0.1715 0.7716 0.5264  1 Al 1.84
F5 0.3056 0.1516 0.0353  1 Al 1.86
F6 0.3056 0.3484 0.5353  1 Al 1.86
F7 0.6944 0.6516 0.4647  1 Al 1.86
F8 0.6944 0.8484 0.9647  1 Al 1.86
F9 0.8285 0.2284 0.4736  1 Al 1.84
F10 0.8285 0.2716 0.9736  1 Al 1.84
F11 0.8797 0.5112 0.2805  1 Al 1.84
F12 0.8797 0.9888 0.7805  1 Al 1.84

Computed properties:
raw formation energy	-2084.9	meV/atom
final energy	-4.24	eV/atom

***

[4]
Density functional theory data (PBE-GGA) for a relaxed structure of AlCdAgHg.

Lattice parameters (Å, degrees): 6.8979 6.8979 6.8979 90.00 90.00 90.00
With the nearest neighbours (Å) after each atom.
Atoms (fractional coordinates):
Al1 0.0000 0.0000 0.0000  4 Ag 2.99, 4 Hg 2.99
Al2 0.0000 0.5000 0.5000  4 Ag 2.99, 4 Hg 2.99
Al3 0.5000 0.0000 0.5000  4 Ag 2.99, 4 Hg 2.99
Al4 0.5000 0.5000 0.0000  4 Ag 2.99, 4 Hg 2.99
Cd1 0.0000 0.0000 0.5000  4 Hg 2.99, 4 Ag 2.99
Cd2 0.0000 0.5000 0.0000  4 Hg 2.99, 4 Ag 2.99
Cd3 0.5000 0.0000 0.0000  4 Hg 2.99, 4 Ag 2.99
Cd4 0.5000 0.5000 0.5000  4 Hg 2.99, 4 Ag 2.99
Ag1 0.2500 0.2500 0.7500  4 Cd 2.99, 4 Al 2.99
Ag2 0.2500 0.7500 0.2500  4 Cd 2.99, 4 Al 2.99
Ag3 0.7500 0.2500 0.2500  4 Cd 2.99, 4 Al 2.99
Ag4 0.7500 0.7500 0.7500  4 Cd 2.99, 4 Al 2.99
Hg1 0.2500 0.2500 0.2500  4 Al 2.99, 4 Cd 2.99
Hg2 0.2500 0.7500 0.7500  4 Al 2.99, 4 Cd 2.99
Hg3 0.7500 0.2500 0.7500  4 Al 2.99, 4 Cd 2.99
Hg4 0.7500 0.7500 0.2500  4 Al 2.99, 4 Cd 2.99

Computed properties:
final energy	-1.80	eV/atom
energy of formation from the pure elements	0.155	eV/atom